1.
The following is a PBE calculation of a relaxed structure of ReTe, from Alexandria.

Values from the calculation:
Raw formation energy ... 1.52 eV per formula unit
ΔE to the lowest computed polymorph ... 41.7 kJ per mole of atoms
Volume ... 160.04 Å³/cell
Crystal system ... orthorhombic

```
8
Lattice="3.440 0.000 0.000 0.000 11.479 0.000 0.000 0.000 4.053" Properties=species:S:1:pos:R:3 pbc="T T T"
Re 0.000 0.799 1.013
Re 0.000 10.680 3.040
Re 1.720 4.940 3.040
Re 1.720 6.538 1.013
Te 0.000 3.943 1.013
Te 0.000 7.536 3.040
Te 1.720 1.797 3.040
Te 1.720 9.682 1.013
```



2.
The following is a PBE calculation of a relaxed structure of ReTe, from Alexandria.

Values from the calculation:
Raw formation energy ... 1.23 eV per formula unit
ΔE to the lowest computed polymorph ... 27.5 kJ per mole of atoms
Volume ... 162.45 Å³/cell
Crystal system ... orthorhombic

```
8
Lattice="4.413 0.000 0.000 0.000 11.122 0.000 0.000 0.000 3.310" Properties=species:S:1:pos:R:3 pbc="T T T"
Re 0.000 0.960 0.828
Re 0.000 10.161 2.483
Re 2.206 4.601 2.483
Re 2.206 6.521 0.828
Te 0.000 3.818 0.828
Te 0.000 7.303 2.483
Te 2.206 1.743 2.483
Te 2.206 9.379 0.828
```



3.
The following is a PBE calculation of a relaxed structure of ReTe, from Alexandria.

Values from the calculation:
Raw formation energy ... 1.14 eV per formula unit
ΔE to the lowest computed polymorph ... 23.4 kJ per mole of atoms
Volume ... 183.70 Å³/cell
Crystal system ... orthorhombic

```
8
Lattice="3.142 0.000 0.000 0.000 3.254 0.000 0.000 0.000 17.966" Properties=species:S:1:pos:R:3 pbc="T T T"
Re 0.000 0.813 3.431
Re 0.000 2.440 14.535
Re 1.571 0.813 5.552
Re 1.571 2.440 12.414
Te 0.000 0.813 10.850
Te 0.000 2.440 7.116
Te 1.571 0.813 16.099
Te 1.571 2.440 1.867
```



4.
The following is a PBE calculation of a relaxed structure of Re2Te, from Alexandria.

Values from the calculation:
Raw formation energy ... 2.77 eV per formula unit
ΔE to the lowest computed polymorph ... 73.0 kJ per mole of atoms
Volume ... 229.60 Å³/cell
Crystal system ... tetragonal

```
12
Lattice="5.204 0.000 0.000 0.000 5.204 0.000 0.000 0.000 8.478" Properties=species:S:1:pos:R:3 pbc="T T T"
Re 0.940 1.662 0.000
Re 0.940 3.542 4.239
Re 1.662 0.940 4.239
Re 1.662 4.264 0.000
Re 3.542 0.940 0.000
Re 3.542 4.264 4.239
Re 4.264 1.662 4.239
Re 4.264 3.542 0.000
Te 0.000 0.000 2.119
Te 0.000 0.000 6.358
Te 2.602 2.602 2.119
Te 2.602 2.602 6.358
```



5.
The following is a PBE calculation of a relaxed structure of Re2Te, from Alexandria.

Values from the calculation:
Raw formation energy ... 1.02 eV per formula unit
ΔE to the lowest computed polymorph ... 16.6 kJ per mole of atoms
Volume ... 260.67 Å³/cell
Crystal system ... monoclinic

```
12
Lattice="9.960 0.000 0.000 0.000 2.977 0.000 -1.774 0.000 8.793" Properties=species:S:1:pos:R:3 pbc="T T T"
Re -0.330 0.000 3.189
Re 0.756 1.488 5.146
Re 2.450 0.000 3.646
Re 3.537 1.488 5.604
Re 4.650 1.488 3.189
Re 5.736 0.000 5.146
Re 7.430 1.488 3.646
Re 8.517 0.000 5.604
Te 1.276 1.488 1.491
Te 1.930 0.000 7.301
Te 6.256 0.000 1.491
Te 6.910 1.488 7.301
```



6.
The following is a PBE calculation of a relaxed structure of Re2Te, from Alexandria.

Values from the calculation:
Raw formation energy ... 3.25 eV per formula unit
ΔE to the lowest computed polymorph ... 88.4 kJ per mole of atoms
Volume ... 158.31 Å³/cell
Crystal system ... hexagonal

```
9
Lattice="6.584 0.000 0.000 -3.292 5.702 0.000 0.000 0.000 4.217" Properties=species:S:1:pos:R:3 pbc="T T T"
Re -0.842 1.459 0.000
Re -1.979 3.428 2.108
Re 1.684 0.000 0.000
Re 1.313 2.274 2.108
Re 3.959 0.000 2.108
Re 2.450 4.244 0.000
Te 0.000 0.000 2.108
Te 0.000 3.801 0.000
Te 3.292 1.901 0.000
```



7.
The following is a PBE calculation of a relaxed structure of ReTe, from Alexandria.

Values from the calculation:
Raw formation energy ... 2.39 eV per formula unit
ΔE to the lowest computed polymorph ... 83.7 kJ per mole of atoms
Volume ... 151.72 Å³/cell
Crystal system ... tetragonal

```
8
Lattice="4.328 0.000 0.000 0.000 4.328 0.000 0.000 0.000 8.100" Properties=species:S:1:pos:R:3 pbc="T T T"
Re 0.000 1.082 3.037
Re 0.000 3.246 5.062
Re 2.164 1.082 1.012
Re 2.164 3.246 7.087
Te 0.000 1.082 7.087
Te 0.000 3.246 1.012
Te 2.164 1.082 5.062
Te 2.164 3.246 3.037
```



8.
The following is a PBE calculation of a relaxed structure of Re2Te, from Alexandria.

Values from the calculation:
Raw formation energy ... 4.17 eV per formula unit
ΔE to the lowest computed polymorph ... 117.9 kJ per mole of atoms
Volume ... 229.44 Å³/cell
Crystal system ... cubic

```
12
Lattice="6.122 0.000 0.000 0.000 6.122 0.000 0.000 0.000 6.122" Properties=species:S:1:pos:R:3 pbc="T T T"
Re 1.530 1.530 1.530
Re 1.530 1.530 4.591
Re 1.530 4.591 1.530
Re 1.530 4.591 4.591
Re 4.591 1.530 1.530
Re 4.591 1.530 4.591
Re 4.591 4.591 1.530
Re 4.591 4.591 4.591
Te 0.000 0.000 0.000
Te 0.000 3.061 3.061
Te 3.061 0.000 3.061
Te 3.061 3.061 0.000
```



9.
The following is a PBE calculation of a relaxed structure of Re2Te, from Alexandria.

Values from the calculation:
Raw formation energy ... 2.55 eV per formula unit
ΔE to the lowest computed polymorph ... 66.0 kJ per mole of atoms
Volume ... 102.38 Å³/cell
Crystal system ... orthorhombic

```
6
Lattice="3.071 0.000 0.000 0.000 4.096 0.000 0.000 0.000 8.139" Properties=species:S:1:pos:R:3 pbc="T T T"
Re 0.000 0.000 1.426
Re 0.000 0.000 6.713
Re 1.536 2.048 2.644
Re 1.536 2.048 5.495
Te 0.000 0.000 4.069
Te 1.536 2.048 0.000
```



10.
The following is a PBE calculation of a relaxed structure of ReTe, from Alexandria.

Values from the calculation:
Raw formation energy ... 1.58 eV per formula unit
ΔE to the lowest computed polymorph ... 44.4 kJ per mole of atoms
Volume ... 82.85 Å³/cell
Crystal system ... hexagonal

```
4
Lattice="3.281 0.000 0.000 -1.641 2.841 0.000 0.000 0.000 8.887" Properties=species:S:1:pos:R:3 pbc="T T T"
Re 0.000 1.894 0.000
Re 1.641 0.947 4.443
Te 0.000 1.894 2.648
Te 1.641 0.947 7.092
```



11.
The following is a PBE calculation of a relaxed structure of ReTe, from Alexandria.

Values from the calculation:
Raw formation energy ... 0.98 eV per formula unit
ΔE to the lowest computed polymorph ... 15.4 kJ per mole of atoms
Volume ... 258.20 Å³/cell
Crystal system ... trigonal

```
12
Lattice="3.128 0.000 0.000 -1.564 2.709 0.000 0.000 0.000 30.474" Properties=species:S:1:pos:R:3 pbc="T T T"
Re 0.000 0.000 4.054
Re 0.000 0.000 26.420
Re 0.000 1.806 16.262
Re 0.000 1.806 24.370
Re 1.564 0.903 6.104
Re 1.564 0.903 14.212
Te 0.000 0.000 12.123
Te 0.000 0.000 18.351
Te 0.000 1.806 1.965
Te 0.000 1.806 8.193
Te 1.564 0.903 22.281
Te 1.564 0.903 28.509
```



12.
The following is a PBE calculation of a relaxed structure of Re2Te, from Alexandria.

Values from the calculation:
Raw formation energy ... 1.59 eV per formula unit
ΔE to the lowest computed polymorph ... 35.1 kJ per mole of atoms
Volume ... 105.07 Å³/cell
Crystal system ... tetragonal

```
6
Lattice="3.055 0.000 0.000 0.000 3.055 0.000 0.000 0.000 11.255" Properties=species:S:1:pos:R:3 pbc="T T T"
Re 0.000 0.000 2.051
Re 0.000 0.000 9.204
Re 1.528 1.528 3.576
Re 1.528 1.528 7.678
Te 0.000 0.000 5.627
Te 1.528 1.528 0.000
```



13.
The following is a PBE calculation of a relaxed structure of ReTe, from Alexandria.

Values from the calculation:
Raw formation energy ... 2.74 eV per formula unit
ΔE to the lowest computed polymorph ... 100.6 kJ per mole of atoms
Volume ... 310.03 Å³/cell
Crystal system ... cubic

```
16
Lattice="6.768 0.000 0.000 0.000 6.768 0.000 0.000 0.000 6.768" Properties=species:S:1:pos:R:3 pbc="T T T"
Re 0.846 0.846 0.846
Re 0.846 4.230 4.230
Re 2.538 2.538 5.922
Re 2.538 5.922 2.538
Re 4.230 0.846 4.230
Re 4.230 4.230 0.846
Re 5.922 2.538 2.538
Re 5.922 5.922 5.922
Te 0.846 0.846 4.230
Te 0.846 4.230 0.846
Te 2.538 2.538 2.538
Te 2.538 5.922 5.922
Te 4.230 0.846 0.846
Te 4.230 4.230 4.230
Te 5.922 2.538 5.922
Te 5.922 5.922 2.538
```



14.
The following is a PBE calculation of a relaxed structure of ReTe, from Alexandria.

Values from the calculation:
Raw formation energy ... 1.74 eV per formula unit
ΔE to the lowest computed polymorph ... 52.1 kJ per mole of atoms
Volume ... 151.60 Å³/cell
Crystal system ... cubic

```
8
Lattice="5.332 0.000 0.000 0.000 5.332 0.000 0.000 0.000 5.332" Properties=species:S:1:pos:R:3 pbc="T T T"
Re 0.364 2.302 3.030
Re 2.302 3.030 0.364
Re 3.030 0.364 2.302
Re 4.968 4.968 4.968
Te 0.359 4.973 2.307
Te 2.307 0.359 4.973
Te 3.025 3.025 3.025
Te 4.973 2.307 0.359
```



| no. | magnetization (μB/cell) |
| --- | --- |
| 1 | 0.000 |
| 2 | 0.000 |
| 3 | 0.000 |
| 4 | 0.001 |
| 5 | 0.000 |
| 6 | 0.000 |
| 7 | 0.001 |
| 8 | 0.001 |
| 9 | 0.000 |
| 10 | 0.000 |
| 11 | 0.000 |
| 12 | 0.000 |
| 13 | 0.000 |
| 14 | 0.000 |